AcAl2SiO8 | PBE | relaxed

Properties
Raw formation energy   -2310 meV per atom
Volume   13.8 A^3/atom
DOS(E_F)   0.632 states/eV per atom
E_tot   -84.4 eV for the cell shown

Cell: 5.3256 5.3256 6.7181 Å, 90.00 90.00 120.00°
Last column: magnetic moment on the atom in μB.
Element x y z (fractional)
O 0.3333 0.6667 0.9893  0.49
O 0.6982 0.8501 0.6597  0.23
O 0.3018 0.1499 0.3403  0.23
O 0.8501 0.1519 0.3403  0.23
O 0.6667 0.3333 0.0107  0.49
O 0.1519 0.3018 0.6597  0.23
O 0.1499 0.8481 0.6597  0.23
O 0.8481 0.6982 0.3403  0.23
Al 0.3333 0.6667 0.7231  -0.01
Al 0.6667 0.3333 0.2769  -0.01
Si 0.0000 0.0000 0.5000  -0.01
Ac 0.0000 0.0000 0.0000  0.00